21
Lattice="5.351 -0.038 -0.349 0.136 5.539 0.552 -0.031 2.082 10.075" Properties=species:S:1:pos:R:3 comment="CaCd4Tc4O12 (PBE, relaxed)" e_above_lowest_polymorph_mev_per_atom=8 crystal_system=triclinic formation_energy_uncorrected_ev_per_atom=-1.19 pbc="T T T"
Ca 5.118 2.039 3.583
Cd 2.287 4.049 2.882
Cd 4.871 5.025 2.008
Cd 2.931 4.115 7.718
Cd 5.376 6.926 7.907
Tc 0.267 4.115 9.992
Tc 2.544 1.695 5.434
Tc 5.403 4.486 5.700
Tc 2.799 6.861 9.983
O 1.552 2.743 9.966
O 1.112 6.102 5.686
O 3.835 5.633 6.147
O 4.228 2.681 9.037
O 4.146 5.459 9.252
O 4.220 2.822 5.830
O 1.405 3.361 5.203
O 1.529 5.492 10.243
O 2.851 1.946 3.556
O 5.199 1.757 1.363
O 2.108 1.744 7.487
O 0.721 4.428 7.867

***

12
Lattice="6.877 0.002 0.001 -3.435 5.958 0.001 -1.147 -1.987 6.670" Properties=species:S:1:pos:R:3 comment="Na3Pu2CdS6 (PBE, relaxed)" crystal_system=monoclinic formation_energy_uncorrected_ev_per_atom=-1.30 pbc="T T T"
Na -2.329 3.994 3.336
Na 4.623 -0.021 3.336
Na 1.147 1.987 3.336
Pu -0.001 3.974 0.001
Pu 3.443 1.985 0.001
Cd 0.000 0.000 0.000
S 3.463 1.944 5.157
S 2.269 3.929 1.520
S -1.168 2.029 1.515
S -0.047 3.971 5.157
S 0.025 0.044 5.152
S 2.342 0.002 1.515

***

5
Lattice="4.338 0.000 0.000 0.000 4.338 0.000 0.000 0.000 4.346" Properties=species:S:1:pos:R:3 comment="TlSbN2F (PBE, relaxed)" e_above_lowest_polymorph_mev_per_atom=707 crystal_system=tetragonal formation_energy_uncorrected_ev_per_atom=1.01 pbc="T T T"
Sb 2.169 2.169 2.173
Tl 0.000 0.000 0.000
N 0.000 2.169 0.000
N 2.169 0.000 0.000
F 0.000 0.000 2.173

***

3
Lattice="4.218 0.000 0.000 -2.109 3.653 0.000 0.000 0.000 5.687" Properties=species:S:1:pos:R:3 comment="BaTaRu (PBE, relaxed)" e_above_lowest_polymorph_mev_per_atom=143 crystal_system=trigonal ef_mev_per_atom=483 pbc="T T T"
Ba 0.000 0.000 0.023
Ru 2.109 1.218 2.766
Ta 0.000 2.435 2.897

***

4
Lattice="-7.170 5.867 -1.322 -7.817 3.993 -3.244 -8.609 3.616 -0.626" Properties=species:S:1:pos:R:3 comment="Tc2AgRu (PBE, relaxed)" e_above_lowest_polymorph_mev_per_atom=54 crystal_system=trigonal ef_mev_per_atom=287 pbc="T T T"
Ag -5.899 3.369 -1.298
Ru -17.698 10.107 -3.895
Tc -0.152 0.087 -0.033
Tc -11.647 6.651 -2.563

***

4
Lattice="2.697 0.000 0.000 0.000 2.697 0.000 0.000 0.000 7.885" Properties=species:S:1:pos:R:3 comment="ReOsRh2 (PBE, relaxed)" e_above_lowest_polymorph_mev_per_atom=105 crystal_system=tetragonal ef_mev_per_atom=46 pbc="T T T"
Re 1.349 1.349 3.942
Os 1.349 1.349 0.000
Rh 0.000 0.000 5.930
Rh 0.000 0.000 1.955

***

4
Lattice="-1.341 2.899 3.784 2.564 -0.114 4.235 3.563 4.747 0.866" Properties=species:S:1:pos:R:3 comment="HfBi (PBE, relaxed)" crystal_system=trigonal ef_mev_per_atom=295 pbc="T T T"
Hf 0.611 1.175 2.557
Hf 4.175 6.358 6.329
Bi 2.571 3.546 1.434
Bi 2.216 3.986 7.452

***

4
Lattice="3.838 0.011 -0.001 -1.914 3.692 0.093 -1.922 -1.031 7.960" Properties=species:S:1:pos:R:3 comment="LaCeTcBr (PBE, relaxed)" crystal_system=triclinic formation_energy_uncorrected_ev_per_atom=-0.65 pbc="T T T"
La 0.364 -0.219 5.243
Ce 0.355 -0.023 0.439
Tc -1.547 0.906 7.195
Br 2.278 1.130 2.898

***

4
Lattice="4.287 0.000 0.000 0.000 2.701 -0.005 0.000 0.008 4.367" Properties=species:S:1:pos:R:3 comment="Li2CoRh (PBE, relaxed)" e_above_lowest_polymorph_mev_per_atom=10 crystal_system=orthorhombic ef_mev_per_atom=-26 pbc="T T T"
Co 2.143 2.368 2.722
Rh 0.000 1.018 2.732
Li 0.000 2.364 0.547
Li 2.143 1.015 0.538

***

5
Lattice="3.299 0.000 0.000 0.000 3.261 0.618 0.000 0.086 8.461" Properties=species:S:1:pos:R:3 comment="Hf2TcPd2 (PBE, relaxed)" e_above_lowest_polymorph_mev_per_atom=0 crystal_system=orthorhombic ef_mev_per_atom=-607 pbc="T T T"
Hf 1.649 1.334 1.874
Hf 1.649 2.013 7.205
Tc 0.000 0.000 0.000
Pd 0.000 0.653 5.467
Pd 0.000 2.693 3.612

***

5
Lattice="-3.496 -1.398 3.313 -3.035 -1.331 -3.764 1.928 -4.629 0.082" Properties=species:S:1:pos:R:3 comment="BaCu3Hg (PBE, relaxed)" e_above_lowest_polymorph_mev_per_atom=0 crystal_system=cubic ef_mev_per_atom=225 pbc="T T T"
Hg 0.000 0.000 0.000
Cu -1.518 -0.666 -1.882
Cu 0.964 -2.315 0.041
Cu -1.748 -0.699 1.657
Ba -2.301 -3.679 -0.184

***

18
Lattice="-1.698 -5.590 2.710 5.657 0.521 -3.034 6.527 4.274 12.905" Properties=species:S:1:pos:R:3 comment="RbTmMnCl6 (PBE, relaxed)" crystal_system=trigonal formation_energy_uncorrected_ev_per_atom=-1.59 pbc="T T T"
Rb 0.000 0.000 0.000
Rb 3.264 2.137 6.453
Tm 4.837 -0.447 2.107
Tm 5.649 -0.347 10.474
Mn 2.386 -2.485 4.022
Mn 8.101 1.690 8.560
Cl 3.422 -2.633 1.880
Cl 1.358 -4.588 3.572
Cl 9.181 1.338 6.464
Cl 9.129 3.793 9.010
Cl 3.598 -0.469 4.408
Cl 4.105 -3.640 5.201
Cl 9.961 0.651 9.629
Cl 1.306 -2.133 6.118
Cl 6.382 2.845 7.380
Cl 0.526 -1.446 2.952
Cl 6.889 -0.326 8.174
Cl 7.065 1.838 10.701